Compound: Yb2MgSe4
Source: Alexandria
Functional: PBE
Structure: optimized geometry

Lattice parameters (Å, degrees): 13.7786 8.2400 6.9630 90.00 90.00 90.00
Fractional positions:
Yb (0.0000, 0.0000, 0.0000)
Yb (0.0000, 0.5000, 0.0000)
Yb (0.2319, 0.2500, 0.4866)
Yb (0.2681, 0.7500, 0.9866)
Yb (0.5000, 0.0000, 0.5000)
Yb (0.5000, 0.5000, 0.5000)
Yb (0.7319, 0.2500, 0.0134)
Yb (0.7681, 0.7500, 0.5134)
Mg (0.0992, 0.7500, 0.4109)
Mg (0.4008, 0.2500, 0.9109)
Mg (0.5992, 0.7500, 0.0891)
Mg (0.9008, 0.2500, 0.5891)
Se (0.0724, 0.2500, 0.7497)
Se (0.0867, 0.7500, 0.7755)
Se (0.1744, 0.5064, 0.2274)
Se (0.1744, 0.9936, 0.2274)
Se (0.3256, 0.0064, 0.7274)
Se (0.3256, 0.4936, 0.7274)
Se (0.4133, 0.2500, 0.2755)
Se (0.4276, 0.7500, 0.2497)
Se (0.5724, 0.2500, 0.7503)
Se (0.5867, 0.7500, 0.7245)
Se (0.6744, 0.5064, 0.2726)
Se (0.6744, 0.9936, 0.2726)
Se (0.8256, 0.0064, 0.7726)
Se (0.8256, 0.4936, 0.7726)
Se (0.9133, 0.2500, 0.2245)
Se (0.9276, 0.7500, 0.2503)

## Properties
DOS(E_F) = 3.49 states/eV/atom
volume = 28.2 Å³ per atom
polymorph energy (0 for the lowest one) = 18 meV/atom
space-group type = Pnma (62)
VASP energy = -4.03 eV per atom
ΔE_f (raw) = -31.80 kcal/mol of atoms

***

Compound: Yb2MgSe4
Source: Alexandria
Functional: PBE
Structure: optimized geometry

Lattice parameters (Å, degrees): 13.4285 3.9897 13.7147 90.00 90.00 90.00
Fractional positions:
Yb (0.1164, 0.2500, 0.0732)
Yb (0.1359, 0.2500, 0.7034)
Yb (0.3641, 0.7500, 0.2034)
Yb (0.3836, 0.7500, 0.5732)
Yb (0.6164, 0.2500, 0.4268)
Yb (0.6359, 0.2500, 0.7966)
Yb (0.8641, 0.7500, 0.2966)
Yb (0.8836, 0.7500, 0.9268)
Mg (0.1110, 0.7500, 0.4543)
Mg (0.3890, 0.2500, 0.9543)
Mg (0.6110, 0.7500, 0.0457)
Mg (0.8890, 0.2500, 0.5457)
Se (0.0053, 0.7500, 0.6204)
Se (0.0280, 0.2500, 0.8825)
Se (0.2248, 0.2500, 0.2536)
Se (0.2375, 0.2500, 0.5113)
Se (0.2625, 0.7500, 0.0113)
Se (0.2752, 0.7500, 0.7536)
Se (0.4720, 0.7500, 0.3825)
Se (0.4947, 0.2500, 0.1204)
Se (0.5053, 0.7500, 0.8796)
Se (0.5280, 0.2500, 0.6175)
Se (0.7248, 0.2500, 0.2464)
Se (0.7375, 0.2500, 0.9887)
Se (0.7625, 0.7500, 0.4887)
Se (0.7752, 0.7500, 0.7464)
Se (0.9720, 0.7500, 0.1175)
Se (0.9947, 0.2500, 0.3796)

## Properties
DOS(E_F) = 3.45 states/eV/atom
volume = 26.2 Å³ per atom
polymorph energy (0 for the lowest one) = 38 meV/atom
space-group type = Pnma (62)
VASP energy = -4.01 eV per atom
ΔE_f (raw) = -31.33 kcal/mol of atoms

***

Compound: Yb2MgSe4
Source: Alexandria
Functional: PBE
Structure: optimized geometry

Lattice parameters (Å, degrees): 7.5303 7.5303 7.5303 111.75 111.75 105.00
Fractional positions:
Yb (0.3750, 0.2456, 0.3706)
Yb (0.7544, 0.1250, 0.1294)
Yb (0.8750, 0.0044, 0.6294)
Yb (0.9956, 0.6250, 0.8706)
Mg (0.2500, 0.7500, 0.5000)
Mg (0.5000, 0.5000, 0.0000)
Se (0.0105, 0.8851, 0.2708)
Se (0.1149, 0.3858, 0.1255)
Se (0.1358, 0.3649, 0.6255)
Se (0.2603, 0.9895, 0.8745)
Se (0.4897, 0.8642, 0.2292)
Se (0.6142, 0.7397, 0.7292)
Se (0.6351, 0.2605, 0.7708)
Se (0.7395, 0.5103, 0.3745)

## Properties
DOS(E_F) = 3.31 states/eV/atom
volume = 23.4 Å³ per atom
polymorph energy (0 for the lowest one) = 39 meV/atom
space-group type = I-42d (122)
VASP energy = -4.01 eV per atom
ΔE_f (raw) = -31.31 kcal/mol of atoms

***

Compound: MgZn2Se
Source: Alexandria
Functional: PBE
Structure: optimized geometry

Lattice parameters (Å, degrees): 8.7346 8.7346 5.1790 90.00 90.00 155.22
Fractional positions:
Mg (0.0931, 0.9069, 0.7500)
Mg (0.9069, 0.0931, 0.2500)
Zn (0.2797, 0.7203, 0.2500)
Zn (0.4757, 0.5243, 0.7500)
Zn (0.5243, 0.4757, 0.2500)
Zn (0.7203, 0.2797, 0.7500)
Se (0.3262, 0.6738, 0.7500)
Se (0.6738, 0.3262, 0.2500)

## Properties
DOS(E_F) = 0.31 states/eV/atom
volume = 20.7 Å³ per atom
space-group type = Cmcm (63)
VASP energy = -2.01 eV per atom
ΔE_f (raw) = -2.48 kcal/mol of atoms

***

Compound: MgZnSe
Source: Alexandria
Functional: PBE
Structure: optimized geometry

Lattice parameters (Å, degrees): 3.8702 15.6383 6.1024 90.00 90.00 90.00
Fractional positions:
Mg (0.2500, 0.0614, 0.1655)
Mg (0.2500, 0.4386, 0.1655)
Mg (0.7500, 0.5614, 0.8345)
Mg (0.7500, 0.9386, 0.8345)
Zn (0.2500, 0.0901, 0.5909)
Zn (0.2500, 0.4099, 0.5909)
Zn (0.7500, 0.5901, 0.4091)
Zn (0.7500, 0.9099, 0.4091)
Se (0.2500, 0.6091, 0.1002)
Se (0.2500, 0.8909, 0.1002)
Se (0.7500, 0.1091, 0.8998)
Se (0.7500, 0.3909, 0.8998)

## Properties
volume = 30.8 Å³ per atom
polymorph energy (0 for the lowest one) = 184 meV/atom
space-group type = Pmmn (59)
VASP energy = -2.54 eV per atom
ΔE_f (raw) = -9.82 kcal/mol of atoms

***

Compound: MgZnSe
Source: Alexandria
Functional: PBE
Structure: optimized geometry

Lattice parameters (Å, degrees): 4.5912 4.5912 7.6433 90.00 90.00 82.72
Fractional positions:
Mg (0.2165, 0.7835, 0.7500)
Mg (0.7835, 0.2165, 0.2500)
Zn (0.2098, 0.7902, 0.2500)
Zn (0.7902, 0.2098, 0.7500)
Se (0.5000, 0.5000, 0.0000)
Se (0.5000, 0.5000, 0.5000)

## Properties
DOS(E_F) = 0.07 states/eV/atom
volume = 26.6 Å³ per atom
polymorph energy (0 for the lowest one) = 305 meV/atom
space-group type = Cmcm (63)
VASP energy = -2.42 eV per atom
ΔE_f (raw) = -7.01 kcal/mol of atoms